Computed, not measured: crystalline CsMn2AgCl6 at its relaxed geometry at the PBE level of DFT.

* uncorrected energy: -4.4598 eV per atom
* magnetic moment: 10.00 μB per formula unit
* uncorrected formation energy: -1107 kJ/mol of formula units

a b c (Å): 9.504 9.504 7.287
angles (deg): 103.96 103.96 84.33
Site moments in Bohr magnetons follow the coordinates.
Atoms (fractional coordinates):
Mn 0.127 0.318 0.329  4.37
Cl 0.473 0.316 0.886  0.05
Cl 0.583 0.104 0.276  0.06
Cl 0.684 0.527 0.614  0.05
Cs 0.805 0.195 0.750  0.00
Mn 0.873 0.682 0.671  4.37
Mn 0.682 0.873 0.171  4.37
Cl 0.316 0.473 0.386  0.05
Cl 0.836 0.875 0.953  0.07
Cl 0.875 0.836 0.453  0.07
Cl 0.527 0.684 0.114  0.05
Cl 0.417 0.896 0.724  0.06
Cl 0.896 0.417 0.224  0.06
Cs 0.195 0.805 0.250  0.00
Cl 0.125 0.164 0.547  0.07
Cl 0.164 0.125 0.047  0.07
Mn 0.318 0.127 0.829  4.37
Ag 0.606 0.394 0.250  0.02
Cl 0.104 0.583 0.776  0.06
Ag 0.394 0.606 0.750  0.02


Computed, not measured: crystalline NaTi3Br at its relaxed geometry at the PBE level of DFT.

* uncorrected energy: -3.7192 eV per atom
* energy relative to the lowest polymorph listed for this composition: 956 meV per atom
* magnetic moment: 2.91 μB per formula unit
* uncorrected formation energy: 780 kJ/mol of formula units

a b c (Å): 4.919 4.919 4.919
angles (deg): 90.00 90.00 90.00
Site moments in Bohr magnetons follow the coordinates.
Atoms (fractional coordinates):
Br 0.500 0.500 0.500  0.01
Na 0.000 0.000 0.000  -0.01
Ti 0.000 0.000 0.500  0.74
Ti 0.000 0.500 0.000  0.64
Ti 0.500 0.000 0.000  0.73


Computed, not measured: crystalline MgSi2Au at its relaxed geometry at the PBE level of DFT.

* uncorrected energy: -3.8026 eV per atom
* magnetic moment: 0.00 μB per formula unit
* uncorrected formation energy: 49 kJ/mol of formula units

a b c (Å): 7.584 7.584 5.964
angles (deg): 50.52 50.52 90.00
Atoms (fractional coordinates):
Si 0.667 0.125 0.250
Si 0.083 0.625 0.250
Au 0.750 0.250 0.500
Si 0.375 0.333 0.750
Mg 0.500 0.500 0.000
Si 0.875 0.917 0.750
Au 0.000 0.000 0.000
Mg 0.250 0.750 0.500